VASP calculation (PBE) on an optimized crystal structure of RePtSe2.

Total magnetization: 0.00 μB/f.u.
VASP energy: -74.3 eV/cell
Formation energy without anion corrections: 175 meV per atom

abc: 3.1638 3.1638 25.2231
angles: 90.00 90.00 120.00
With the nearest neighbours (Å) after each atom.
Space group R-3m (No. 166, hexagonal axes)
Unique sites:
1 Re 0.0000 0.0000 0.0000 x3  6 Se 2.54
2 Pt 0.0000 0.0000 0.5000 x3  2 Se 2.43
3 Se 0.0000 0.0000 0.4036 x6  1 Pt 2.43, 3 Re 2.54